A plane-wave DFT calculation with GGA-PBE was carried out for Ce6C2I3N after structural relaxation.

## Properties
ΔE_f (raw): -813 meV/atom
Total DFT energy (no corrections): -6.40 eV per atom

Unit cell a=6.5339 b=11.3170 c=8.0703 alpha=90.00 beta=105.66 gamma=90.00
Space group C2/m (No. 12)
Unique sites:
Ce  0.2227  0.1653  0.1723 [8 per cell]
Ce  0.2270  0.5000  0.1726 [4 per cell]
C  0.0000  0.3335  0.0000 [4 per cell]
I  0.0000  0.1677  0.5000 [4 per cell]
I  0.0000  0.5000  0.5000 [2 per cell]
N  0.0000  0.0000  0.0000 [2 per cell]